No. 1
# PBE AcHoEr4S8, relaxed
data_AcHoEr4S8
_chemical_formula_sum 'Ac1 Ho1 Er4 S8'
_symmetry_space_group_name_H-M 'P 1'
_symmetry_Int_Tables_number 1
_cell_length_a 8.115
_cell_length_b 8.115
_cell_length_c 8.115
_cell_angle_alpha 59.93
_cell_angle_beta 59.93
_cell_angle_gamma 59.93
loop_
_symmetry_equiv_pos_as_xyz
'x,y,z'
loop_
_atom_site_label
_atom_site_type_symbol
_atom_site_fract_x
_atom_site_fract_y
_atom_site_fract_z
_atom_site_occupancy
Ac1 Ac 0.000 0.000 0.000 1
Ho1 Ho 0.377 0.377 0.377 1
Er1 Er 0.377 0.377 0.868 1
Er2 Er 0.377 0.868 0.377 1
Er3 Er 0.750 0.750 0.750 1
Er4 Er 0.868 0.377 0.377 1
S1 S 0.140 0.140 0.577 1
S2 S 0.140 0.577 0.140 1
S3 S 0.141 0.141 0.141 1
S4 S 0.143 0.619 0.619 1
S5 S 0.577 0.140 0.140 1
S6 S 0.618 0.618 0.618 1
S7 S 0.619 0.143 0.619 1
S8 S 0.619 0.619 0.143 1
# ΔE_f (raw)	-1.917	eV per atom

***

No. 2
# PBE KSc2MoSe, relaxed
data_KSc2MoSe
_chemical_formula_sum 'K1 Sc2 Mo1 Se1'
_symmetry_space_group_name_H-M 'P 1'
_symmetry_Int_Tables_number 1
_cell_length_a 4.825
_cell_length_b 4.825
_cell_length_c 5.268
_cell_angle_alpha 90.00
_cell_angle_beta 90.00
_cell_angle_gamma 90.00
loop_
_symmetry_equiv_pos_as_xyz
'x,y,z'
loop_
_atom_site_label
_atom_site_type_symbol
_atom_site_fract_x
_atom_site_fract_y
_atom_site_fract_z
_atom_site_occupancy
K1 K 0.000 0.000 0.000 1
Sc1 Sc 0.000 0.500 0.000 1
Sc2 Sc 0.500 0.000 0.000 1
Mo1 Mo 0.500 0.500 0.500 1
Se1 Se 0.000 0.000 0.500 1
# distance to the lowest polymorph of the same formula	1482	meV/atom
# ΔE_f (raw)	1.692	eV per atom

***

No. 3
# PBE LiHfZr3, relaxed
data_LiHfZr3
_chemical_formula_sum 'Li1 Hf1 Zr3'
_symmetry_space_group_name_H-M 'P 1'
_symmetry_Int_Tables_number 1
_cell_length_a 5.237
_cell_length_b 5.237
_cell_length_c 5.237
_cell_angle_alpha 90.00
_cell_angle_beta 90.00
_cell_angle_gamma 90.00
loop_
_symmetry_equiv_pos_as_xyz
'x,y,z'
loop_
_atom_site_label
_atom_site_type_symbol
_atom_site_fract_x
_atom_site_fract_y
_atom_site_fract_z
_atom_site_occupancy
Li1 Li 0.000 0.000 0.000 1
Hf1 Hf 0.500 0.500 0.500 1
Zr1 Zr 0.000 0.500 0.500 1
Zr2 Zr 0.500 0.000 0.500 1
Zr3 Zr 0.500 0.500 0.000 1
# distance to the lowest polymorph of the same formula	326	meV/atom
# energy of formation from the pure elements	1.069	eV per atom

***

| no. | energy (eV per atom) | ρ (g/cm³) |
| --- | --- | --- |
| 1 | -6.200 | 5.800 |
| 2 | -3.923 | 4.116 |
| 3 | -6.434 | 5.309 |